[1]
The following is a PBE calculation of a geometry-optimized Be2ZnBr structure, from Alexandria via LeMat-Bulk.

Cell: 3.9278 3.9278 8.2385 Å, 90.00 90.00 90.00°
Last column: nearest neighbours and their distance in Å.
Space group I4/mmm (No. 139)
One atom of each set of equivalent atoms:
Be (0.0000, 0.5000, 0.2500) x4  4 Be 2.78, 4 Br 2.85, 4 Zn 2.85
Zn (0.0000, 0.0000, 0.0000) x2  4 Br 2.78, 8 Be 2.85
Br (0.0000, 0.0000, 0.5000) x2  4 Zn 2.78, 8 Be 2.85

Values from the calculation:
Distance to the lowest polymorph of the same formula (eV per atom): 0.894
Total magnetization (μB per formula unit): 0.000
Density of states at the Fermi level (states/eV/cell): 3.3
Energy relative to the elements, uncorrected (meV/atom): 932
Crystal system: tetragonal

[2]
The following is a PBE calculation of a geometry-optimized Be2ZnBr structure, from Alexandria via LeMat-Bulk.

Cell: 4.5305 4.5305 2.9771 Å, 90.00 90.00 90.00°
Last column: nearest neighbours and their distance in Å.
Space group P4/mmm (No. 123)
One atom of each set of equivalent atoms:
Be (0.0000, 0.5000, 0.0000) x2  4 Br 2.71, 4 Zn 2.71, 2 Be 2.98
Zn (0.0000, 0.0000, 0.5000) x1  8 Be 2.71, 2 Zn 2.98
Br (0.5000, 0.5000, 0.5000) x1  8 Be 2.71, 2 Br 2.98

Values from the calculation:
Distance to the lowest polymorph of the same formula (eV per atom): 0.832
Total magnetization (μB per formula unit): 0.000
Density of states at the Fermi level (states/eV/cell): 2.0
Energy relative to the elements, uncorrected (meV/atom): 870
Crystal system: tetragonal

[3]
The following is a PBE calculation of a geometry-optimized Be2ZnBr structure, from Alexandria via LeMat-Bulk.

Cell: 3.1096 3.2871 6.1328 Å, 90.00 90.00 90.00°
Last column: nearest neighbours and their distance in Å.
Space group Pmmm (No. 47)
One atom of each set of equivalent atoms:
Be (0.0000, 0.0000, 0.1832) x2  1 Be 2.25, 2 Br 2.49
Zn (0.5000, 0.5000, 0.0000) x1  8 Be 2.53
Br (0.5000, 0.0000, 0.5000) x1  4 Be 2.49

Values from the calculation:
Distance to the lowest polymorph of the same formula (eV per atom): 0.386
Total magnetization (μB per formula unit): 0.000
Density of states at the Fermi level (states/eV/cell): 0.9
Energy relative to the elements, uncorrected (meV/atom): 424
Crystal system: orthorhombic

[4]
The following is a PBE calculation of a geometry-optimized BeZn2Br structure, from Alexandria via LeMat-Bulk.

Cell: 3.1684 6.0703 8.6044 Å, 90.00 90.00 90.00°
Last column: nearest neighbours and their distance in Å.
Space group Imm2 (No. 44)
One atom of each set of equivalent atoms:
Be (0.0000, 0.0000, 0.0000) x2  2 Br 2.22, 2 Zn 2.44
Zn (0.0000, 0.0000, 0.5323) x2  2 Zn 2.69
Zn (0.0000, 0.5000, 0.2849) x2  2 Be 2.44, 2 Zn 2.69
Br (0.0000, 0.5000, 0.6814) x2  2 Be 2.22

Values from the calculation:
Distance to the lowest polymorph of the same formula (eV per atom): 0.370
Total magnetization (μB per formula unit): 0.000
Density of states at the Fermi level (states/eV/cell): 2.7
Energy relative to the elements, uncorrected (meV/atom): 295
Crystal system: orthorhombic